Density functional theory data (PBE) for crystalline TbF3 at its relaxed geometry.

Calculated values
- uncorrected energy (eV per atom) = -6.595
- space-group type = R-3c
- mass density (g cm⁻³) = 5.91

Cell lengths 5.9463, 5.9463, 5.9463 Å; angles 52.17, 52.17, 52.17 degrees
Fractional coordinates of all 8 atoms:
Tb 0.0000 0.0000 0.0000
Tb 0.5000 0.5000 0.5000
F 0.0757 0.7500 0.4243
F 0.2500 0.5757 0.9243
F 0.4243 0.0757 0.7500
F 0.5757 0.9243 0.2500
F 0.7500 0.4243 0.0757
F 0.9243 0.2500 0.5757